# 1
Density functional theory data (PBE) for a relaxed ThAs3Rh crystal.

Summary:
Space-group type ... Pbcm (57)
Uncorrected energy ... -130.99 eV for the cell shown

a b c (Å): 12.2177 5.8404 5.7691
angles (deg): 90.00 90.00 90.00
With the nearest neighbours (Å) after each atom.
Fractional coordinates of all 20 atoms:
Th  0.1938  0.0016  0.2500  9 As 3.03-3.14, 2 Rh 3.37
Th  0.1938  0.4984  0.7500  9 As 3.03-3.14, 2 Rh 3.37
Th  0.8062  0.5016  0.2500  9 As 3.03-3.14, 2 Rh 3.37
Th  0.8062  0.9984  0.7500  9 As 3.03-3.14, 2 Rh 3.37
As  0.0013  0.7500  0.0000  4 As 2.88-2.92, 4 Th 3.13-3.14
As  0.0013  0.7500  0.5000  4 As 2.88-2.92, 4 Th 3.13-3.14
As  0.2692  0.5006  0.2500  2 Rh 2.70
As  0.2692  0.9994  0.7500  2 Rh 2.70
As  0.4368  0.1112  0.2500  4 Rh 2.48-2.57
As  0.4368  0.3888  0.7500  4 Rh 2.48-2.57
As  0.5632  0.6112  0.2500  4 Rh 2.48-2.57
As  0.5632  0.8888  0.7500  4 Rh 2.48-2.57
As  0.7308  0.0006  0.2500  2 Rh 2.70
As  0.7308  0.4994  0.7500  2 Rh 2.70
As  0.9987  0.2500  0.0000  4 As 2.88-2.92, 4 Th 3.13-3.14
As  0.9987  0.2500  0.5000  4 As 2.88-2.92, 4 Th 3.13-3.14
Rh  0.4125  0.7500  0.0000  6 As 2.48-2.70
Rh  0.4125  0.7500  0.5000  6 As 2.48-2.70
Rh  0.5875  0.2500  0.0000  6 As 2.48-2.70
Rh  0.5875  0.2500  0.5000  6 As 2.48-2.70

# 2
Density functional theory data (PBE) for a relaxed K2Ge2O5 crystal.

Summary:
Space-group type ... Cc (9)
Uncorrected energy ... -312.69 eV for the cell shown

a b c (Å): 10.4601 10.4601 10.4746
angles (deg): 111.80 111.80 68.42
With the nearest neighbours (Å) after each atom.
Fractional coordinates of all 54 atoms:
K  0.0136  0.9864  0.5000  3 O 2.62-2.91
K  0.0525  0.6088  0.9008  5 O 2.77-3.01
K  0.1988  0.7392  0.7343  6 O 2.62-2.90
K  0.3898  0.8723  0.5910  5 O 2.73-2.91
K  0.4032  0.4594  0.5645  4 O 2.70-2.83
K  0.4512  0.9105  0.9971  5 O 2.72-2.97
K  0.4594  0.4032  0.0645  4 O 2.70-2.83
K  0.6088  0.0525  0.4008  5 O 2.77-3.01
K  0.7392  0.1988  0.2343  6 O 2.62-2.90
K  0.8723  0.3898  0.0910  5 O 2.73-2.91
K  0.9105  0.4512  0.4971  5 O 2.72-2.97
K  0.9864  0.0136  0.0000  3 O 2.62-2.91
Ge  0.1331  0.1681  0.8547  4 O 1.70-1.81
Ge  0.1617  0.6193  0.2887  4 O 1.70-1.82
Ge  0.1681  0.1331  0.3547  4 O 1.70-1.81
Ge  0.2529  0.2932  0.6966  4 O 1.71-1.82
Ge  0.2932  0.2529  0.1966  4 O 1.71-1.82
Ge  0.2943  0.7970  0.1929  4 O 1.70-1.82
Ge  0.6193  0.1617  0.7887  4 O 1.70-1.82
Ge  0.6471  0.6812  0.3014  4 O 1.71-1.82
Ge  0.6812  0.6471  0.8014  4 O 1.71-1.82
Ge  0.7696  0.8180  0.6505  4 O 1.70-1.82
Ge  0.7970  0.2943  0.6929  4 O 1.70-1.82
Ge  0.8180  0.7696  0.1505  4 O 1.70-1.82
O  0.0017  0.2290  0.2838  1 Ge 1.70
O  0.1463  0.2143  0.0433  2 Ge 1.80-1.81
O  0.1603  0.3129  0.8228  2 Ge 1.80-1.82
O  0.1811  0.9432  0.2927  2 Ge 1.80-1.81
O  0.1901  0.7205  0.4615  1 Ge 1.70
O  0.2000  0.4568  0.6661  1 Ge 1.71
O  0.2143  0.1463  0.5433  2 Ge 1.80-1.81
O  0.2290  0.0017  0.7838  1 Ge 1.70
O  0.2338  0.4355  0.2914  2 Ge 1.79-1.80
O  0.2517  0.6379  0.1802  2 Ge 1.82
O  0.2622  0.8027  0.0230  1 Ge 1.70
O  0.3129  0.1603  0.3228  2 Ge 1.80-1.82
O  0.4355  0.2338  0.7914  2 Ge 1.79-1.80
O  0.4568  0.2000  0.1661  1 Ge 1.71
O  0.4712  0.7961  0.3132  2 Ge 1.81
O  0.5015  0.6776  0.7690  1 Ge 1.71
O  0.6267  0.9814  0.6723  2 Ge 1.81-1.82
O  0.6379  0.2517  0.6802  2 Ge 1.82
O  0.6776  0.5015  0.2690  1 Ge 1.71
O  0.6787  0.7101  0.1564  2 Ge 1.81-1.82
O  0.7101  0.6787  0.6564  2 Ge 1.81-1.82
O  0.7205  0.1901  0.9615  1 Ge 1.70
O  0.7603  0.7703  0.4622  2 Ge 1.81-1.82
O  0.7703  0.7603  0.9622  2 Ge 1.81-1.82
O  0.7961  0.4712  0.8132  2 Ge 1.81
O  0.8027  0.2622  0.5230  1 Ge 1.70
O  0.8180  0.9375  0.2570  1 Ge 1.70
O  0.9375  0.8180  0.7570  1 Ge 1.70
O  0.9432  0.1811  0.7927  2 Ge 1.80-1.81
O  0.9814  0.6267  0.1723  2 Ge 1.81-1.82

# 3
Density functional theory data (PBE) for a relaxed EuGaAgAu crystal.

Summary:
Space-group type ... F-43m (216)
Uncorrected energy ... -20.83 eV for the cell shown

a b c (Å): 4.9807 4.9807 4.9807
angles (deg): 60.00 60.00 60.00
With the nearest neighbours (Å) after each atom.
Fractional coordinates of all 4 atoms:
Eu  0.0000  0.0000  0.0000  4 Au 3.05, 4 Ag 3.05
Ga  0.5000  0.5000  0.5000  4 Ag 3.05, 4 Au 3.05
Ag  0.7500  0.7500  0.7500  4 Eu 3.05, 4 Ga 3.05
Au  0.2500  0.2500  0.2500  4 Ga 3.05, 4 Eu 3.05

# 4
Density functional theory data (PBE) for a relaxed Zr2Si2H crystal.

Summary:
Space-group type ... P4/mbm (127)
Uncorrected energy ... -66.96 eV for the cell shown

a b c (Å): 6.5586 6.5586 3.9215
angles (deg): 90.00 90.00 90.00
With the nearest neighbours (Å) after each atom.
Fractional coordinates of all 10 atoms:
Zr  0.1809  0.3191  0.0000  2 H 2.41, 2 Si 2.66
Zr  0.3191  0.8191  0.0000  2 H 2.41, 2 Si 2.66
Zr  0.6809  0.1809  0.0000  2 H 2.41, 2 Si 2.66
Zr  0.8191  0.6809  0.0000  2 H 2.41, 2 Si 2.66
Si  0.1250  0.6250  0.5000  1 Si 2.32
Si  0.3750  0.1250  0.5000  1 Si 2.32
Si  0.6250  0.8750  0.5000  1 Si 2.32
Si  0.8750  0.3750  0.5000  1 Si 2.32
H  0.0000  0.0000  0.0000  4 Zr 2.41
H  0.5000  0.5000  0.0000  4 Zr 2.41

# 5
Density functional theory data (PBE) for a relaxed K2SmErO4 crystal.

Summary:
Space-group type ... P2/m (10)
Uncorrected energy ... -53.11 eV for the cell shown

a b c (Å): 6.0924 3.5169 6.5925
angles (deg): 90.00 107.93 90.00
With the nearest neighbours (Å) after each atom.
Fractional coordinates of all 8 atoms:
K  0.0000  0.0000  0.0000  6 O 2.85-2.86
K  0.5000  0.5000  0.0000  6 O 2.80
Sm  0.0000  0.5000  0.5000  6 O 2.37-2.38
Er  0.5000  0.0000  0.5000  6 O 2.30-2.32
O  0.2375  0.0000  0.6874  1 Er 2.30, 2 Sm 2.37
O  0.2789  0.5000  0.3146  2 Er 2.32, 1 Sm 2.38
O  0.7211  0.5000  0.6854  2 Er 2.32, 1 Sm 2.38
O  0.7625  0.0000  0.3126  1 Er 2.30, 2 Sm 2.37

# 6
Density functional theory data (PBE) for a relaxed B2MoOs crystal.

Summary:
Space-group type ... Fm-3m (225)
Uncorrected energy ... -34.30 eV for the cell shown

a b c (Å): 3.9013 3.9013 3.9013
angles (deg): 60.00 60.00 60.00
With the nearest neighbours (Å) after each atom.
Fractional coordinates of all 4 atoms:
B  0.2500  0.2500  0.2500  4 Mo 2.39, 4 Os 2.39
B  0.7500  0.7500  0.7500  4 Os 2.39, 4 Mo 2.39
Mo  0.0000  0.0000  0.0000  8 B 2.39
Os  0.5000  0.5000  0.5000  8 B 2.39

# 7
Density functional theory data (PBE) for a relaxed SrAlPt3 crystal.

Summary:
Space-group type ... Pm-3m (221)
Uncorrected energy ... -25.87 eV for the cell shown

a b c (Å): 4.7327 4.7327 4.7327
angles (deg): 90.00 90.00 90.00
With the nearest neighbours (Å) after each atom.
Fractional coordinates of all 5 atoms:
Sr  0.0000  0.0000  0.0000  12 Pt 3.35
Al  0.5000  0.5000  0.5000  6 Pt 2.37
Pt  0.0000  0.5000  0.5000  2 Al 2.37
Pt  0.5000  0.0000  0.5000  2 Al 2.37
Pt  0.5000  0.5000  0.0000  2 Al 2.37

# 8
Density functional theory data (PBE) for a relaxed K2TlSnO4 crystal.

Summary:
Space-group type ... I-4 (82)
Uncorrected energy ... -38.83 eV for the cell shown

a b c (Å): 6.2012 6.2012 6.2012
angles (deg): 121.17 121.17 87.98
With the nearest neighbours (Å) after each atom.
Fractional coordinates of all 8 atoms:
K  0.0000  0.0000  0.0000  4 O 2.68
K  0.7500  0.2500  0.5000  4 O 2.81
Tl  0.5000  0.5000  0.0000  4 O 2.33
Sn  0.2500  0.7500  0.5000  4 O 2.01
O  0.1927  0.6452  0.1045  1 Sn 2.01
O  0.3548  0.4593  0.5474  1 Sn 2.01
O  0.5407  0.0881  0.8955  1 Sn 2.01
O  0.9119  0.8073  0.4526  1 Sn 2.01